No. 1
VASP calculation (PBE) on a relaxed Pa4MnGe8 crystal.

Summary:
ρ ... 9779 kg/m3
DFT formation energy ... -412 meV per atom

Cell: 4.084 4.112 15.778 Å, 90.00 90.00 90.00°
Last column: magnetic moment on the atom in μB.
Fractional coordinates of all 13 atoms:
Pa  0.000  0.000  0.100  -0.05
Pa  0.500  0.000  0.894  -0.07
Pa  0.500  0.500  0.392  -0.26
Pa  0.000  0.500  0.611  0.09
Ge  0.000  0.000  0.753  0.00
Ge  0.000  0.500  0.939  0.00
Ge  0.500  0.500  0.752  0.00
Ge  0.500  0.000  0.563  -0.01
Ge  0.000  0.000  0.459  -0.01
Ge  0.500  0.000  0.236  -0.01
Ge  0.500  0.500  0.055  0.00
Ge  0.000  0.500  0.236  -0.01
Mn  0.000  0.000  0.313  1.11



No. 2
VASP calculation (PBE) on a relaxed RbRuRh crystal.

Summary:
ρ ... 6451 kg/m3
DFT formation energy ... 558 meV per atom

Cell: 6.973 4.072 5.293 Å, 90.00 97.54 90.00°
Fractional coordinates of all 6 atoms:
Rb  0.088  0.750  0.763
Rb  0.912  0.250  0.237
Ru  0.454  0.250  0.610
Ru  0.546  0.750  0.390
Rh  0.574  0.750  0.889
Rh  0.426  0.250  0.111



No. 3
VASP calculation (PBE) on a relaxed KAgRh crystal.

Summary:
ρ ... 5784 kg/m3
DFT formation energy ... 404 meV per atom

Cell: 6.275 6.275 6.275 Å, 154.23 137.91 50.01°
Fractional coordinates of all 3 atoms:
Rh  0.388  0.388  0.000
K  0.667  0.667  0.000
Ag  0.945  0.945  0.000



No. 4
VASP calculation (PBE) on a relaxed Nb2PtRh2 crystal.

Summary:
ρ ... 11849 kg/m3
DFT formation energy ... -413 meV per atom

Cell: 7.317 7.317 3.072 Å, 90.00 90.00 90.00°
Fractional coordinates of all 10 atoms:
Rh  0.631  0.131  0.000
Rh  0.131  0.369  0.000
Rh  0.869  0.631  0.000
Rh  0.369  0.869  0.000
Nb  0.172  0.672  0.500
Nb  0.672  0.828  0.500
Nb  0.828  0.328  0.500
Nb  0.328  0.172  0.500
Pt  0.500  0.500  0.000
Pt  0.000  0.000  0.000